Crystalline TlCo2GeO at its relaxed geometry. Source: Alexandria via LeMat-Bulk, functional PBE+U.

Density: 7.408 g/cm3
Total moment: 3.691 μB/cell
Crystal system: tetragonal
SG: No. 123
DFT total energy: -19.917 eV per formula unit

a b c (Å): 4.8108 4.8108 3.9796
angles (deg): 90.00 90.00 90.00
With the nearest neighbours (Å) after each atom.
Fractional coordinates of all 5 atoms:
Tl1 0.0000 0.0000 0.0000  8 Co 3.12, 4 O 3.40
Co1 0.0000 0.5000 0.5000  2 Ge 2.41
Co2 0.5000 0.0000 0.5000  2 Ge 2.41
Ge1 0.5000 0.5000 0.5000  2 O 1.99
O1 0.5000 0.5000 0.0000  2 Ge 1.99